No. 1
Entry from the Alexandria database: a relaxed Ni2HPd crystal (PBE).

Properties
Excess energy over the best structure of this formula in the dataset (meV/atom): 45
VASP energy (eV/atom): -4.969

Cell lengths 2.640, 7.062, 4.506 Å; angles 90.00, 106.98, 90.00 degrees
Space group P2_1/m (No. 11)
Symmetry-distinct sites (fractional):
Ni (0.139, 0.072, 0.279) [4 per cell]
H (0.371, 0.750, 0.741) [2 per cell]
Pd (0.407, 0.250, 0.813) [2 per cell]



No. 2
Entry from the Alexandria database: a relaxed Sr3LiRh crystal (PBE).

Properties
Formation energy (eV/atom): 0.055
Excess energy over the best structure of this formula in the dataset (meV/atom): 202
VASP energy (eV/atom): -2.807

Cell lengths 7.951, 10.520, 8.262 Å; angles 90.00, 90.00, 90.00 degrees
Space group Pnma (No. 62)
Symmetry-distinct sites (fractional):
Sr (0.092, 0.250, 0.229) [4 per cell]
Sr (0.147, 0.081, 0.662) [8 per cell]
Li (0.000, 0.000, 0.000) [4 per cell]
Rh (0.141, 0.750, 0.467) [4 per cell]



No. 3
Entry from the Alexandria database: a relaxed CuAu2Se crystal (PBE).

Properties
Raw formation energy (eV/atom): 0.073
VASP energy (eV/atom): -3.461

Cell lengths 2.892, 3.646, 6.938 Å; angles 90.00, 90.00, 90.00 degrees
Space group Pmm2 (No. 25)
Symmetry-distinct sites (fractional):
Cu (0.000, 0.000, 0.000) [1 per cell]
Au (0.000, 0.000, 0.444) [1 per cell]
Au (0.500, 0.500, 0.199) [1 per cell]
Se (0.000, 0.500, 0.752) [1 per cell]



No. 4
Entry from the Alexandria database: a relaxed TlNiSnPd2 crystal (PBE).

Properties
Formation energy (eV/atom): 0.984
VASP energy (eV/atom): -3.523

Cell lengths 4.969, 4.969, 5.627 Å; angles 90.00, 90.00, 90.00 degrees
Space group P4/mmm (No. 123)
Symmetry-distinct sites (fractional):
Tl (0.000, 0.000, 0.000) [1 per cell]
Ni (0.500, 0.500, 0.000) [1 per cell]
Sn (0.000, 0.000, 0.500) [1 per cell]
Pd (0.000, 0.500, 0.500) [2 per cell]



No. 5
Entry from the Alexandria database: a relaxed Ti4AlH2 crystal (PBE).

Properties
VASP energy (eV/atom): -6.225

Cell lengths 9.411, 13.123, 5.854 Å; angles 90.00, 90.00, 90.00 degrees
Space group Fdd2 (No. 43)
Symmetry-distinct sites (fractional):
Ti (0.061, 0.302, 0.000) [16 per cell]
Ti (0.068, 0.398, 0.503) [16 per cell]
Al (0.000, 0.000, 0.397) [8 per cell]
H (0.112, 0.161, 0.946) [16 per cell]



No. 6
Entry from the Alexandria database: a relaxed RbBe3H crystal (PBE).

Properties
VASP energy (eV/atom): -1.563

Cell lengths 4.344, 4.344, 4.344 Å; angles 90.00, 90.00, 90.00 degrees
Space group Pm-3m (No. 221)
Symmetry-distinct sites (fractional):
Rb (0.000, 0.000, 0.000) [1 per cell]
Be (0.000, 0.500, 0.500) [3 per cell]
H (0.500, 0.500, 0.500) [1 per cell]